{
  "formula": "RbZn2I",
  "functional": "PBE",
  "state": "optimized geometry",
  "lattice_angstrom": [[0.0000, 4.2824, 4.2824], [4.2824, 0.0000, 4.2824], [4.2824, 4.2824, 0.0000]],
  "species": ["Rb", "Zn", "Zn", "I"],
  "fractional_positions": [[0.0000, 0.0000, 0.0000], [0.2500, 0.2500, 0.2500], [0.7500, 0.7500, 0.7500], [0.5000, 0.5000, 0.5000]],
  "magmom_total_mub_per_atom": 0.000,
  "polymorph_energy_mev_per_atom": 32,
  "e_form_raw_ev_per_atom": -0.132
}

---

{
  "formula": "RbZn2I",
  "functional": "PBE",
  "state": "optimized geometry",
  "lattice_angstrom": [[-4.9080, 4.9080, 3.4707], [4.9080, -4.9080, 3.4707], [4.9080, 4.9080, -3.4707]],
  "species": ["Rb", "Rb", "Zn", "Zn", "Zn", "Zn", "I", "I"],
  "fractional_positions": [[0.0000, 0.0000, 0.0000], [0.7500, 0.2500, 0.5000], [0.1460, 0.6250, 0.0210], [0.3750, 0.3960, 0.5210], [0.6040, 0.1250, 0.9790], [0.8750, 0.8540, 0.4790], [0.2500, 0.7500, 0.5000], [0.5000, 0.5000, 0.0000]],
  "magmom_total_mub_per_atom": 0.000,
  "polymorph_energy_mev_per_atom": 0,
  "e_form_raw_ev_per_atom": -0.164
}

---

{
  "formula": "Rb3ZnI6",
  "functional": "PBE",
  "state": "optimized geometry",
  "lattice_angstrom": [[7.7495, -10.0384, 0.0000], [7.7495, 10.0384, 0.0000], [0.0000, 0.0000, 6.8729]],
  "species": ["Rb", "Rb", "Rb", "Rb", "Rb", "Rb", "Zn", "Zn", "I", "I", "I", "I", "I", "I", "I", "I", "I", "I", "I", "I"],
  "fractional_positions": [[0.1199, 0.8801, 0.5000], [0.1963, 0.4365, 0.4760], [0.4365, 0.1963, 0.9760], [0.5635, 0.8037, 0.4760], [0.8037, 0.5635, 0.9760], [0.8801, 0.1199, 0.0000], [0.2955, 0.7045, 0.9060], [0.7045, 0.2955, 0.4060], [0.0911, 0.6247, 0.7866], [0.1592, 0.1633, 0.7345], [0.1633, 0.1592, 0.2345], [0.2879, 0.7121, 0.2861], [0.3753, 0.9089, 0.7866], [0.4223, 0.5777, 0.8042], [0.5777, 0.4223, 0.3042], [0.6247, 0.0911, 0.2866], [0.7121, 0.2879, 0.7861], [0.8367, 0.8408, 0.7345], [0.8408, 0.8367, 0.2345], [0.9089, 0.3753, 0.2866]],
  "magmom_total_mub_per_atom": 0.000,
  "polymorph_energy_mev_per_atom": 0,
  "e_form_raw_ev_per_atom": -1.062
}

---

{
  "formula": "Rb3ZnI5",
  "functional": "PBE",
  "state": "optimized geometry",
  "lattice_angstrom": [[-5.0450, 5.0714, 8.0898], [5.0450, -5.0714, 8.0898], [5.0450, 5.0714, -8.0898]],
  "species": ["Rb", "Rb", "Rb", "Rb", "Rb", "Rb", "Zn", "Zn", "I", "I", "I", "I", "I", "I", "I", "I", "I", "I"],
  "fractional_positions": [[0.1582, 0.6577, 0.8159], [0.2500, 0.2500, 0.0000], [0.3418, 0.1577, 0.4995], [0.6582, 0.8423, 0.5005], [0.7500, 0.7500, 0.0000], [0.8418, 0.3423, 0.1841], [0.2500, 0.7500, 0.5000], [0.7500, 0.2500, 0.5000], [0.0000, 0.0000, 0.0000], [0.0059, 0.7977, 0.5017], [0.2041, 0.7023, 0.2083], [0.2959, 0.5042, 0.4983], [0.4941, 0.9958, 0.7917], [0.5000, 0.5000, 0.0000], [0.5059, 0.0042, 0.2083], [0.7041, 0.4958, 0.5017], [0.7959, 0.2977, 0.7917], [0.9941, 0.2023, 0.4983]],
  "magmom_total_mub_per_atom": 0.000,
  "e_form_raw_ev_per_atom": -1.198
}

---

{
  "formula": "Rb2ZnI2",
  "functional": "PBE",
  "state": "optimized geometry",
  "lattice_angstrom": [[-3.5314, 3.5314, 6.7497], [3.5314, -3.5314, 6.7497], [3.5314, 3.5314, -6.7497]],
  "species": ["Rb", "Rb", "Zn", "I", "I"],
  "fractional_positions": [[0.2500, 0.7500, 0.5000], [0.7500, 0.2500, 0.5000], [0.0000, 0.0000, 0.0000], [0.3058, 0.3058, 0.0000], [0.6942, 0.6942, 0.0000]],
  "magmom_total_mub_per_atom": 0.000,
  "e_form_raw_ev_per_atom": -0.884
}

---

{
  "formula": "Rb2ZnI7",
  "functional": "PBE",
  "state": "optimized geometry",
  "lattice_angstrom": [[-4.4032, 4.4032, 6.1326], [4.4032, -4.4032, 6.1326], [4.4032, 4.4032, -6.1326]],
  "species": ["Rb", "Rb", "Zn", "I", "I", "I", "I", "I", "I", "I"],
  "fractional_positions": [[0.2500, 0.7500, 0.5000], [0.7500, 0.2500, 0.5000], [0.0000, 0.0000, 0.0000], [0.2189, 0.2189, 0.4378], [0.2189, 0.7811, 0.0000], [0.2626, 0.2626, 0.0000], [0.5000, 0.5000, 0.0000], [0.7374, 0.7374, 0.0000], [0.7811, 0.2189, 0.0000], [0.7811, 0.7811, 0.5622]],
  "magmom_total_mub_per_atom": 0.000,
  "e_form_raw_ev_per_atom": -0.633
}

---

{
  "formula": "Rb3ZnI",
  "functional": "PBE",
  "state": "optimized geometry",
  "lattice_angstrom": [[7.1664, 0.0000, 0.0000], [0.0000, 7.1664, 0.0000], [0.0000, 0.0000, 7.1664]],
  "species": ["Rb", "Rb", "Rb", "Zn", "I"],
  "fractional_positions": [[0.0000, 0.0000, 0.5000], [0.0000, 0.5000, 0.0000], [0.5000, 0.0000, 0.0000], [0.5000, 0.5000, 0.5000], [0.0000, 0.0000, 0.0000]],
  "magmom_total_mub_per_atom": 0.000,
  "polymorph_energy_mev_per_atom": 0,
  "e_form_raw_ev_per_atom": -0.324
}

---

{
  "formula": "RbZn2I2",
  "functional": "PBE",
  "state": "optimized geometry",
  "lattice_angstrom": [[-2.0550, 2.0550, 10.0314], [2.0550, -2.0550, 10.0314], [2.0550, 2.0550, -10.0314]],
  "species": ["Rb", "Zn", "Zn", "I", "I"],
  "fractional_positions": [[0.0000, 0.0000, 0.0000], [0.2500, 0.7500, 0.5000], [0.7500, 0.2500, 0.5000], [0.3856, 0.3856, 0.0000], [0.6145, 0.6145, 0.0000]],
  "magmom_total_mub_per_atom": 0.000,
  "e_form_raw_ev_per_atom": -0.391
}

---

{
  "formula": "Rb3Zn5I12",
  "functional": "PBE",
  "state": "optimized geometry",
  "lattice_angstrom": [[-9.3567, 9.3567, 9.3567], [9.3567, -9.3567, 9.3567], [9.3567, 9.3567, -9.3567]],
  "species": ["Rb", "Rb", "Rb", "Rb", "Rb", "Rb", "Rb", "Rb", "Rb", "Rb", "Rb", "Rb", "Zn", "Zn", "Zn", "Zn", "Zn", "Zn", "Zn", "Zn", "Zn", "Zn", "Zn", "Zn", "Zn", "Zn", "Zn", "Zn", "Zn", "Zn", "Zn", "Zn", "I", "I", "I", "I", "I", "I", "I", "I", "I", "I", "I", "I", "I", "I", "I", "I", "I", "I", "I", "I", "I", "I", "I", "I", "I", "I", "I", "I", "I", "I", "I", "I", "I", "I", "I", "I", "I", "I", "I", "I", "I", "I", "I", "I", "I", "I", "I", "I"],
  "fractional_positions": [[0.1250, 0.2500, 0.3750], [0.1250, 0.3750, 0.7500], [0.2500, 0.3750, 0.1250], [0.2500, 0.8750, 0.6250], [0.3750, 0.1250, 0.2500], [0.3750, 0.7500, 0.1250], [0.6250, 0.2500, 0.8750], [0.6250, 0.8750, 0.7500], [0.7500, 0.1250, 0.3750], [0.7500, 0.6250, 0.8750], [0.8750, 0.6250, 0.2500], [0.8750, 0.7500, 0.6250], [0.0000, 0.0000, 0.0000], [0.0000, 0.0000, 0.5000], [0.0000, 0.5000, 0.0000], [0.0000, 0.5000, 0.5000], [0.1250, 0.7500, 0.8750], [0.1250, 0.8750, 0.2500], [0.2500, 0.1250, 0.8750], [0.2500, 0.6250, 0.3750], [0.3750, 0.2500, 0.6250], [0.3750, 0.6250, 0.7500], [0.5000, 0.0000, 0.0000], [0.5000, 0.0000, 0.5000], [0.5000, 0.5000, 0.0000], [0.5000, 0.5000, 0.5000], [0.6250, 0.3750, 0.2500], [0.6250, 0.7500, 0.3750], [0.7500, 0.3750, 0.6250], [0.7500, 0.8750, 0.1250], [0.8750, 0.1250, 0.7500], [0.8750, 0.2500, 0.1250], [0.0112, 0.1953, 0.1097], [0.0112, 0.3159, 0.9015], [0.0855, 0.6953, 0.6841], [0.0855, 0.8903, 0.4015], [0.0985, 0.6097, 0.4145], [0.0985, 0.9888, 0.6841], [0.1097, 0.0112, 0.1953], [0.1097, 0.5985, 0.9145], [0.1841, 0.1953, 0.5855], [0.1841, 0.4888, 0.5985], [0.1953, 0.1097, 0.0112], [0.1953, 0.5855, 0.1841], [0.3047, 0.3159, 0.9145], [0.3047, 0.4888, 0.3903], [0.3159, 0.9015, 0.0112], [0.3159, 0.9145, 0.3047], [0.3903, 0.3047, 0.4888], [0.3903, 0.5855, 0.9015], [0.4015, 0.0855, 0.8903], [0.4015, 0.8159, 0.5112], [0.4145, 0.0985, 0.6097], [0.4145, 0.8159, 0.8047], [0.4888, 0.3903, 0.3047], [0.4888, 0.5985, 0.1841], [0.5112, 0.4015, 0.8159], [0.5112, 0.6097, 0.6953], [0.5855, 0.1841, 0.1953], [0.5855, 0.9015, 0.3903], [0.5985, 0.1841, 0.4888], [0.5985, 0.9145, 0.1097], [0.6097, 0.4145, 0.0985], [0.6097, 0.6953, 0.5112], [0.6841, 0.0855, 0.6953], [0.6841, 0.0985, 0.9888], [0.6953, 0.5112, 0.6097], [0.6953, 0.6841, 0.0855], [0.8047, 0.4145, 0.8159], [0.8047, 0.8903, 0.9888], [0.8159, 0.5112, 0.4015], [0.8159, 0.8047, 0.4145], [0.8903, 0.4015, 0.0855], [0.8903, 0.9888, 0.8047], [0.9015, 0.0112, 0.3159], [0.9015, 0.3903, 0.5855], [0.9145, 0.1097, 0.5985], [0.9145, 0.3047, 0.3159], [0.9888, 0.6841, 0.0985], [0.9888, 0.8047, 0.8903]],
  "magmom_total_mub_per_atom": 0.000,
  "e_form_raw_ev_per_atom": -0.752
}

---

{
  "formula": "RbZnI2",
  "functional": "PBE",
  "state": "optimized geometry",
  "lattice_angstrom": [[-3.6278, 3.6278, 8.0608], [3.6278, -3.6278, 8.0608], [3.6278, 3.6278, -8.0608]],
  "species": ["Rb", "Rb", "Zn", "Zn", "I", "I", "I", "I"],
  "fractional_positions": [[0.0000, 0.0000, 0.0000], [0.7500, 0.2500, 0.5000], [0.2500, 0.7500, 0.5000], [0.5000, 0.5000, 0.0000], [0.2192, 0.6250, 0.0942], [0.3750, 0.4692, 0.5942], [0.5308, 0.1250, 0.9058], [0.8750, 0.7808, 0.4058]],
  "magmom_total_mub_per_atom": 0.000,
  "polymorph_energy_mev_per_atom": 0,
  "e_form_raw_ev_per_atom": -0.692
}

---

{
  "formula": "Rb3ZnI6",
  "functional": "PBE",
  "state": "optimized geometry",
  "lattice_angstrom": [[0.0000, 6.2899, 6.2899], [6.2899, 0.0000, 6.2899], [6.2899, 6.2899, 0.0000]],
  "species": ["Rb", "Rb", "Rb", "Zn", "I", "I", "I", "I", "I", "I"],
  "fractional_positions": [[0.0000, 0.0000, 0.0000], [0.2500, 0.2500, 0.2500], [0.7500, 0.7500, 0.7500], [0.5000, 0.5000, 0.5000], [0.2751, 0.2751, 0.7249], [0.2751, 0.7249, 0.2751], [0.2751, 0.7249, 0.7249], [0.7249, 0.2751, 0.2751], [0.7249, 0.2751, 0.7249], [0.7249, 0.7249, 0.2751]],
  "magmom_total_mub_per_atom": 0.000,
  "polymorph_energy_mev_per_atom": 173,
  "e_form_raw_ev_per_atom": -0.889
}

---

{
  "formula": "RbZrI5",
  "functional": "PBE",
  "state": "optimized geometry",
  "lattice_angstrom": [[8.3640, -4.2684, 0.0000], [8.3640, 4.2684, 0.0000], [-4.1462, 0.0000, 10.6329]],
  "species": ["Rb", "Rb", "Zr", "Zr", "I", "I", "I", "I", "I", "I", "I", "I", "I", "I"],
  "fractional_positions": [[0.0327, 0.9673, 0.7500], [0.9673, 0.0327, 0.2500], [0.5000, 0.5000, 0.0000], [0.5000, 0.5000, 0.5000], [0.1420, 0.6018, 0.4748], [0.1445, 0.5936, 0.8867], [0.3984, 0.6016, 0.2500], [0.3982, 0.8580, 0.0252], [0.4064, 0.8555, 0.6133], [0.5936, 0.1445, 0.3867], [0.6018, 0.1420, 0.9748], [0.6016, 0.3984, 0.7500], [0.8555, 0.4064, 0.1133], [0.8580, 0.3982, 0.5252]],
  "magmom_total_mub_per_atom": 0.000,
  "e_form_raw_ev_per_atom": -1.038
}

---

{
  "formula": "RbZr3I",
  "functional": "PBE",
  "state": "optimized geometry",
  "lattice_angstrom": [[5.4586, 0.0000, 0.0000], [0.0000, 5.4586, 0.0000], [0.0000, 0.0000, 5.4586]],
  "species": ["Rb", "Zr", "Zr", "Zr", "I"],
  "fractional_positions": [[0.0000, 0.0000, 0.0000], [0.0000, 0.5000, 0.5000], [0.5000, 0.0000, 0.5000], [0.5000, 0.5000, 0.0000], [0.5000, 0.5000, 0.5000]],
  "magmom_total_mub_per_atom": 0.000,
  "polymorph_energy_mev_per_atom": 0,
  "e_form_raw_ev_per_atom": 1.054
}

---

{
  "formula": "RbZr2I",
  "functional": "PBE",
  "state": "optimized geometry",
  "lattice_angstrom": [[0.0000, 3.7647, 3.7647], [3.7647, 0.0000, 3.7647], [3.7647, 3.7647, 0.0000]],
  "species": ["Rb", "Zr", "Zr", "I"],
  "fractional_positions": [[0.0000, 0.0000, 0.0000], [0.2500, 0.2500, 0.2500], [0.7500, 0.7500, 0.7500], [0.5000, 0.5000, 0.5000]],
  "magmom_total_mub_per_atom": 0.204,
  "polymorph_energy_mev_per_atom": 474,
  "e_form_raw_ev_per_atom": 1.098
}

---

{
  "formula": "RbZrI3",
  "functional": "PBE",
  "state": "optimized geometry",
  "lattice_angstrom": [[5.9512, 0.0000, 0.0000], [0.0000, 5.9512, 0.0000], [0.0000, 0.0000, 5.9512]],
  "species": ["Rb", "Zr", "I", "I", "I"],
  "fractional_positions": [[0.0000, 0.0000, 0.0000], [0.5000, 0.5000, 0.5000], [0.0000, 0.5000, 0.5000], [0.5000, 0.0000, 0.5000], [0.5000, 0.5000, 0.0000]],
  "magmom_total_mub_per_atom": 0.400,
  "polymorph_energy_mev_per_atom": 0,
  "e_form_raw_ev_per_atom": -0.827
}

---

{
  "formula": "RbZr2I",
  "functional": "PBE",
  "state": "optimized geometry",
  "lattice_angstrom": [[-2.4318, 2.4318, 11.4907], [2.4318, -2.4318, 11.4907], [2.4318, 2.4318, -11.4907]],
  "species": ["Rb", "Rb", "Zr", "Zr", "Zr", "Zr", "I", "I"],
  "fractional_positions": [[0.0000, 0.0000, 0.0000], [0.7500, 0.2500, 0.5000], [0.2637, 0.6250, 0.1387], [0.3750, 0.5137, 0.6387], [0.4863, 0.1250, 0.8613], [0.8750, 0.7363, 0.3613], [0.2500, 0.7500, 0.5000], [0.5000, 0.5000, 0.0000]],
  "magmom_total_mub_per_atom": 0.000,
  "polymorph_energy_mev_per_atom": 0,
  "e_form_raw_ev_per_atom": 0.624
}

---

{
  "formula": "Rb2Zr3I9",
  "functional": "PBE",
  "state": "optimized geometry",
  "lattice_angstrom": [[5.9881, -9.9257, 0.0000], [5.9881, 9.9257, 0.0000], [-4.7436, 0.0000, 10.3050]],
  "species": ["Rb", "Rb", "Rb", "Rb", "Zr", "Zr", "Zr", "Zr", "Zr", "Zr", "I", "I", "I", "I", "I", "I", "I", "I", "I", "I", "I", "I", "I", "I", "I", "I", "I", "I"],
  "fractional_positions": [[0.0548, 0.7311, 0.6727], [0.2689, 0.9452, 0.3273], [0.7311, 0.0548, 0.6727], [0.9452, 0.2689, 0.3273], [0.2791, 0.4552, 0.8606], [0.3783, 0.3783, 0.1288], [0.4552, 0.2791, 0.8606], [0.5448, 0.7209, 0.1394], [0.6217, 0.6217, 0.8712], [0.7209, 0.5448, 0.1394], [0.0036, 0.6065, 0.3228], [0.0966, 0.3040, 0.9860], [0.1854, 0.1854, 0.6719], [0.2274, 0.2274, 0.2910], [0.2932, 0.7068, 0.0000], [0.3040, 0.0966, 0.9860], [0.3816, 0.5862, 0.6844], [0.3935, 0.9964, 0.6772], [0.4138, 0.6184, 0.3156], [0.5862, 0.3816, 0.6844], [0.6065, 0.0036, 0.3228], [0.6184, 0.4138, 0.3156], [0.6960, 0.9034, 0.0140], [0.7068, 0.2932, 0.0000], [0.7726, 0.7726, 0.7090], [0.8146, 0.8146, 0.3281], [0.9034, 0.6960, 0.0140], [0.9964, 0.3935, 0.6772]],
  "magmom_total_mub_per_atom": 0.143,
  "e_form_raw_ev_per_atom": -1.010
}

---

{
  "formula": "RbZr3I",
  "functional": "PBE",
  "state": "optimized geometry",
  "lattice_angstrom": [[5.1911, 0.0000, 0.0000], [0.0000, 5.1911, 0.0000], [0.0000, 0.0000, 5.1911]],
  "species": ["Rb", "Zr", "Zr", "Zr", "I"],
  "fractional_positions": [[0.0000, 0.0000, 0.0000], [0.0000, 0.0000, 0.5000], [0.0000, 0.5000, 0.0000], [0.5000, 0.0000, 0.0000], [0.5000, 0.5000, 0.5000]],
  "magmom_total_mub_per_atom": 0.000,
  "polymorph_energy_mev_per_atom": 1026,
  "e_form_raw_ev_per_atom": 2.080
}

---

{
  "formula": "Rb3ZrI6",
  "functional": "PBE",
  "state": "optimized geometry",
  "lattice_angstrom": [[0.0000, 6.3794, 6.3794], [6.3794, 0.0000, 6.3794], [6.3794, 6.3794, 0.0000]],
  "species": ["Rb", "Rb", "Rb", "Zr", "I", "I", "I", "I", "I", "I"],
  "fractional_positions": [[0.0000, 0.0000, 0.0000], [0.2500, 0.2500, 0.2500], [0.7500, 0.7500, 0.7500], [0.5000, 0.5000, 0.5000], [0.2711, 0.2711, 0.7289], [0.2711, 0.7289, 0.2711], [0.2711, 0.7289, 0.7289], [0.7289, 0.2711, 0.2711], [0.7289, 0.2711, 0.7289], [0.7289, 0.7289, 0.2711]],
  "magmom_total_mub_per_atom": 0.100,
  "e_form_raw_ev_per_atom": -1.158
}